Entry 1:
Zn2ReNi: optimized geometry, PBE.

The structure in extended XYZ format:
```
4
Lattice="-3.6471 -1.7877 0.0544 0.4896 -0.9251 2.4208 -1.7661 3.7010 3.2158" Properties=species:S:1:pos:R:3 pbc="T T T"
Zn -2.0347 -0.4069 1.8723
Ni -0.7701 1.6444 2.4065
Zn -0.0026 0.0109 0.1834
Re -2.7544 1.1277 4.0471
```

Formation energy ... 0.112 eV per atom
Distance to the lowest polymorph of the same formula ... 0.38 eV/f.u.
Final energy ... -5.082 eV/atom

***

Entry 2:
Zn2ReNi: optimized geometry, PBE.

The structure in extended XYZ format:
```
4
Lattice="-1.7878 -3.5933 2.4828 2.0755 -0.5021 4.2086 -1.9115 3.6625 -2.2813" Properties=species:S:1:pos:R:3 pbc="T T T"
Zn 0.1439 -2.0477 3.3457
Ni 0.1540 0.5564 2.6365
Zn 0.0000 0.0000 0.0000
Re -1.7777 -0.9893 1.7735
```

Formation energy ... 0.284 eV per atom
Distance to the lowest polymorph of the same formula ... 1.07 eV/f.u.
Final energy ... -4.910 eV/atom

***

Entry 3:
ZnReNi2: optimized geometry, PBE.

The structure in extended XYZ format:
```
4
Lattice="4.4191 0.0073 -0.0178 3.6545 2.4847 -0.0178 0.5930 0.1830 4.6589" Properties=species:S:1:pos:R:3 pbc="T T T"
Zn 6.4999 2.0063 3.4674
Re 2.1666 0.6688 1.1558
Ni 4.3277 1.3358 2.2510
Ni 8.0792 2.4938 0.0250
```

Formation energy ... 0.074 eV per atom
Final energy ... -6.247 eV/atom

***

Entry 4:
Zn2ReNi: optimized geometry, PBE.

The structure in extended XYZ format:
```
8
Lattice="6.7276 0.0000 0.0000 0.0000 6.7276 0.0000 3.3638 3.3638 2.5395" Properties=species:S:1:pos:R:3 pbc="T T T"
Ni 3.3638 6.7276 1.2698
Ni 3.3638 3.3638 0.0000
Re 6.7276 3.3638 1.2698
Zn 4.8815 1.6819 0.6349
Zn 5.0457 5.2099 1.9047
Zn 8.4095 8.2453 1.9047
Zn 1.8461 5.0457 0.6349
Re 0.0000 0.0000 0.0000
```

Formation energy ... 0.609 eV per atom
Distance to the lowest polymorph of the same formula ... 2.37 eV/f.u.
Final energy ... -4.586 eV/atom